IrRuSe | PBE | optimized geometry

Cell: 4.090 4.090 4.090 Å, 60.00 60.00 60.00°
Atoms (fractional coordinates):
Ir  0.000  0.000  0.000
Ru  0.500  0.500  0.500
Se  0.250  0.250  0.250

Properties
The energy relative to the elements, uncorrected comes out at 0.343 eV per atom. Its crystal system is cubic. The energy relative to the lowest polymorph listed for this composition is 0.0675 eV per atom. The magnetic moment is 0.0000 μB per atom. The calculation puts the volume at 16.13 A^3/atom. Its space group is F-43m, No. 216.